Entry 1:
{"formula": "VCoP2", "functional": "PBE", "state": "optimized geometry", "volume_a3_per_cell": 135.0, "de_polymorph_mev_per_atom": 203, "delta_e_f_ev_per_atom": -0.09, "lattice": [[5.299, 0.000, 0.000], [0.000, 5.299, 0.000], [2.649, 2.649, 4.809]], "species": ["P", "P", "P", "P", "Co", "Co", "V", "V"], "frac_coords": [[0.651, 0.125, 0.250], [0.099, 0.625, 0.250], [0.375, 0.349, 0.750], [0.875, 0.901, 0.750], [0.000, 0.000, 0.000], [0.750, 0.250, 0.500], [0.500, 0.500, 0.000], [0.250, 0.750, 0.500]]}

***

Entry 2:
{"formula": "V2Co4P", "functional": "PBE", "state": "optimized geometry", "volume_a3_per_cell": 96.2, "delta_e_f_ev_per_atom": 0.52, "lattice": [[-0.303, -3.244, 2.247], [3.588, 0.713, 1.512], [-0.909, 2.074, 6.358]], "species": ["P", "Co", "Co", "Co", "Co", "V", "V"], "frac_coords": [[0.000, 0.000, 0.000], [0.175, 0.175, 0.650], [0.825, 0.825, 0.350], [0.000, 0.500, 0.000], [0.500, 0.000, 0.000], [0.343, 0.343, 0.314], [0.657, 0.657, 0.686]]}

***

Entry 3:
{"formula": "VCoP", "functional": "PBE", "state": "optimized geometry", "volume_a3_per_cell": 137.3, "delta_e_f_ev_per_atom": -0.83, "lattice": [[3.509, 0.000, 0.000], [0.000, 5.853, 0.000], [0.000, 0.000, 6.687]], "species": ["P", "P", "P", "P", "Co", "Co", "Co", "Co", "V", "V", "V", "V"], "frac_coords": [[0.250, 0.766, 0.624], [0.250, 0.266, 0.876], [0.750, 0.234, 0.376], [0.750, 0.734, 0.124], [0.750, 0.357, 0.062], [0.250, 0.143, 0.562], [0.750, 0.857, 0.438], [0.250, 0.643, 0.938], [0.250, 0.529, 0.330], [0.250, 0.029, 0.170], [0.750, 0.971, 0.830], [0.750, 0.471, 0.670]]}

***

Entry 4:
{"formula": "V2CoP4", "functional": "PBE", "state": "optimized geometry", "volume_a3_per_cell": 111.3, "delta_e_f_ev_per_atom": 0.25, "lattice": [[4.366, 0.000, 0.000], [0.000, 4.366, 0.000], [2.183, 2.183, 5.836]], "species": ["P", "P", "P", "P", "Co", "V", "V"], "frac_coords": [[0.194, 0.194, 0.612], [0.806, 0.806, 0.388], [0.000, 0.500, 0.000], [0.500, 0.000, 0.000], [0.000, 0.000, 0.000], [0.392, 0.392, 0.216], [0.608, 0.608, 0.784]]}

***

Entry 5:
{"formula": "VCoP", "functional": "PBE", "state": "optimized geometry", "volume_a3_per_cell": 206.6, "delta_e_f_ev_per_atom": -0.82, "lattice": [[3.520, 0.000, 0.000], [0.000, 5.847, 0.024], [0.000, 0.023, 10.039]], "species": ["V", "V", "V", "V", "V", "V", "Co", "Co", "Co", "Co", "Co", "Co", "P", "P", "P", "P", "P", "P"], "frac_coords": [[0.750, 0.533, 0.384], [0.250, 0.972, 0.713], [0.750, 0.028, 0.287], [0.750, 0.648, 0.080], [0.250, 0.467, 0.616], [0.250, 0.352, 0.920], [0.250, 0.988, 0.089], [0.250, 0.858, 0.459], [0.750, 0.634, 0.793], [0.750, 0.142, 0.541], [0.250, 0.366, 0.207], [0.750, 0.012, 0.911], [0.250, 0.761, 0.913], [0.750, 0.267, 0.750], [0.750, 0.762, 0.583], [0.750, 0.239, 0.087], [0.250, 0.238, 0.417], [0.250, 0.733, 0.250]]}

***

Entry 6:
{"formula": "Co4PW", "functional": "PBE", "state": "optimized geometry", "volume_a3_per_cell": 69.8, "delta_e_f_ev_per_atom": 0.28, "lattice": [[2.949, -3.509, 0.594], [-1.543, -4.085, 1.514], [-0.120, -3.629, -2.859]], "species": ["Co", "Co", "Co", "Co", "P", "W"], "frac_coords": [[0.625, 0.625, 0.124], [0.625, 0.124, 0.625], [0.625, 0.625, 0.625], [0.124, 0.625, 0.625], [0.250, 0.250, 0.250], [0.000, 0.000, 0.000]]}